A plane-wave DFT calculation with PBE-GGA was carried out for a geometry-optimized Gd2ZnGe structure.

CIF file:
```
data_Gd2ZnGe
_chemical_formula_sum 'Gd2 Zn1 Ge1'
_cell_length_a 4.897
_cell_length_b 4.897
_cell_length_c 3.869
_cell_angle_alpha 90.00
_cell_angle_beta 90.00
_cell_angle_gamma 90.00
_space_group_name_H-M_alt 'P 4/m m m'
_space_group_IT_number 123
_space_group_name_Hall '-P 4 2'
loop_
_atom_site_label
_atom_site_fract_x
_atom_site_fract_y
_atom_site_fract_z
Gd1 0.000 0.500 0.000
Zn1 0.000 0.000 0.500
Ge1 0.500 0.500 0.500
```

Computed properties:
Total magnetic moment in μB/atom: 3.615
DFT total energy in eV/atom: -9.07
Calculated volume in Å³/atom: 23.2
Crystal system: tetragonal
Formation energy from the elements in eV per atom: -0.557
Density of states at the Fermi level in states/eV per cell: 2.42